1.
Density functional theory data (PBE-GGA) for a relaxed structure of ThPa4Pb.

Cell: 6.1038 6.1038 6.1038 Å, 60.00 60.00 60.00°
With the nearest neighbours (Å) after each atom.
Fractional positions:
Pa  0.6270  0.6270  0.6270  6 Pa 3.00-3.10
Pa  0.1191  0.6270  0.6270  6 Pa 3.00-3.10
Pa  0.6270  0.1190  0.6270  6 Pa 3.00-3.10
Pa  0.6270  0.6270  0.1190  6 Pa 3.00-3.10
Th  0.2500  0.2500  0.2500  12 Pa 3.58, 4 Pb 3.74
Pb  0.0000  0.0000  0.0000  12 Pa 3.57, 4 Th 3.74

Calculated values
Total energy (eV for the cell shown): -48.1
DOS at the Fermi energy (states/eV/cell): 13.39
Crystal system: cubic
ρ (kg/m3): 14079
E_form (eV/atom): 0.1659

---

2.
Density functional theory data (PBE-GGA) for a relaxed structure of ThPaPb.

Cell: 5.5404 6.3223 6.3223 Å, 94.23 64.01 64.01°
With the nearest neighbours (Å) after each atom.
Fractional positions:
Pa  0.5000  0.3554  0.6446  1 Pa 2.68
Pa  0.5000  0.6446  0.3554  1 Pa 2.68
Th  0.0000  0.1762  0.8238  4 Pa 3.23-3.31, 1 Th 3.27, 6 Pb 3.44-3.60
Th  0.0000  0.8238  0.1762  4 Pa 3.23-3.31, 1 Th 3.27, 6 Pb 3.44-3.60
Pb  0.7445  0.7555  0.7555  2 Pb 3.22-3.37, 6 Th 3.44-3.60, 4 Pa 3.51
Pb  0.2555  0.2445  0.2445  2 Pb 3.22-3.37, 6 Th 3.44-3.60, 4 Pa 3.51

Calculated values
Distance to the lowest polymorph of the same formula (kJ/mol of formula units): 32
Total energy (eV for the cell shown): -39.8
DOS at the Fermi energy (states/eV/cell): 10.22
Crystal system: orthorhombic
ρ (kg/m3): 13173
E_form (eV/atom): 0.2336

---

3.
Density functional theory data (PBE-GGA) for a relaxed structure of Th2PaPb.

Cell: 4.0760 4.0760 7.1059 Å, 90.00 90.00 90.00°
With the nearest neighbours (Å) after each atom.
Fractional positions:
Th  0.0000  0.0000  0.2535  4 Pa 3.37, 4 Pb 3.40, 2 Th 3.50-3.60
Th  0.0000  0.0000  0.7465  4 Pa 3.37, 4 Pb 3.40, 2 Th 3.50-3.60
Pa  0.5000  0.5000  0.5000  8 Th 3.37, 2 Pb 3.55
Pb  0.5000  0.5000  0.0000  8 Th 3.40, 2 Pa 3.55

Calculated values
Distance to the lowest polymorph of the same formula (kJ/mol of formula units): 23
Total energy (eV for the cell shown): -27.9
DOS at the Fermi energy (states/eV/cell): 7.66
Crystal system: tetragonal
ρ (kg/m3): 12692
E_form (eV/atom): 0.0289

---

4.
Density functional theory data (PBE-GGA) for a relaxed structure of ThPaPb.

Cell: 4.2201 4.2201 5.7894 Å, 111.37 111.37 90.00°
With the nearest neighbours (Å) after each atom.
Fractional positions:
Pa  0.6354  0.6354  0.2708  1 Th 2.95
Pb  0.2818  0.2818  0.5635  5 Pa 3.32-3.51, 5 Th 3.34-3.46
Th  0.9329  0.9329  0.8657  1 Pa 2.95

Calculated values
Distance to the lowest polymorph of the same formula (kJ/mol of formula units): 0
Total energy (eV for the cell shown): -20.3
DOS at the Fermi energy (states/eV/cell): 6.54
Crystal system: tetragonal
ρ (kg/m3): 12598
E_form (eV/atom): 0.1215

---

5.
Density functional theory data (PBE-GGA) for a relaxed structure of ThPa2Pb.

Cell: 5.3848 5.3848 5.3848 Å, 60.00 60.00 60.00°
With the nearest neighbours (Å) after each atom.
Fractional positions:
Pb  0.5000  0.5000  0.5000  8 Pa 3.30
Pa  0.7500  0.7500  0.7500  4 Pb 3.30, 4 Th 3.30
Pa  0.2500  0.2500  0.2500  4 Pb 3.30, 4 Th 3.30
Th  0.0000  0.0000  0.0000  8 Pa 3.30

Calculated values
Distance to the lowest polymorph of the same formula (kJ/mol of formula units): 93
Total energy (eV for the cell shown): -29.0
DOS at the Fermi energy (states/eV/cell): 8.44
Crystal system: cubic
ρ (kg/m3): 13556
E_form (eV/atom): 0.2677

---

6.
Density functional theory data (PBE-GGA) for a relaxed structure of Th2PaPb.

Cell: 4.6629 4.9927 4.9927 Å, 90.00 90.00 90.00°
With the nearest neighbours (Å) after each atom.
Fractional positions:
Th  0.0000  0.0000  0.5000  4 Pb 3.42, 4 Pa 3.42, 4 Th 3.53
Th  0.0000  0.5000  0.0000  4 Pb 3.42, 4 Pa 3.42, 4 Th 3.53
Pb  0.5000  0.5000  0.5000  8 Th 3.42, 4 Pa 3.53
Pa  0.5000  0.0000  0.0000  8 Th 3.42, 4 Pb 3.53

Calculated values
Distance to the lowest polymorph of the same formula (kJ/mol of formula units): 0
Total energy (eV for the cell shown): -28.2
DOS at the Fermi energy (states/eV/cell): 8.30
Crystal system: tetragonal
ρ (kg/m3): 12891
E_form (eV/atom): -0.0304

---

7.
Density functional theory data (PBE-GGA) for a relaxed structure of ThPa2Pb.

Cell: 5.0220 4.6571 4.6571 Å, 90.00 90.00 90.00°
With the nearest neighbours (Å) after each atom.
Fractional positions:
Th  0.5000  0.0000  0.0000  4 Pb 3.29, 8 Pa 3.42
Pa  0.0000  0.5000  0.0000  4 Pa 3.29, 4 Pb 3.42, 4 Th 3.42
Pa  0.0000  0.0000  0.5000  4 Pa 3.29, 4 Pb 3.42, 4 Th 3.42
Pb  0.5000  0.5000  0.5000  4 Th 3.29, 8 Pa 3.42

Calculated values
Distance to the lowest polymorph of the same formula (kJ/mol of formula units): 0
Total energy (eV for the cell shown): -30.0
DOS at the Fermi energy (states/eV/cell): 9.35
Crystal system: tetragonal
ρ (kg/m3): 13741
E_form (eV/atom): 0.0272

---

8.
Density functional theory data (PBE-GGA) for a relaxed structure of ThPaPb.

Cell: 3.2987 5.4106 5.4106 Å, 120.00 90.00 90.00°
With the nearest neighbours (Å) after each atom.
Fractional positions:
Th  0.1663  0.0000  0.0000  3 Pa 3.12, 2 Th 3.30
Pa  0.1675  0.3333  0.6667  3 Th 3.12, 2 Pa 3.30
Pb  0.6662  0.6667  0.3333  2 Pb 3.30, 6 Pa 3.53, 6 Th 3.53

Calculated values
Distance to the lowest polymorph of the same formula (kJ/mol of formula units): 50
Total energy (eV for the cell shown): -19.7
DOS at the Fermi energy (states/eV/cell): 6.06
Crystal system: hexagonal
ρ (kg/m3): 13309
E_form (eV/atom): 0.2937

---

9.
Density functional theory data (PBE-GGA) for a relaxed structure of PaTiPb2.

Cell: 3.8023 3.8023 6.7473 Å, 90.00 90.00 90.00°
With the nearest neighbours (Å) after each atom.
Fractional positions:
Pb  0.0000  0.0000  0.7759  1 Pb 3.02, 4 Ti 3.08, 4 Pa 3.27
Pb  0.0000  0.0000  0.2241  1 Pb 3.02, 4 Ti 3.08, 4 Pa 3.27
Ti  0.5000  0.5000  0.0000  8 Pb 3.08, 2 Pa 3.37
Pa  0.5000  0.5000  0.5000  8 Pb 3.27, 2 Ti 3.37

Calculated values
Distance to the lowest polymorph of the same formula (kJ/mol of formula units): 7
Total energy (eV for the cell shown): -24.1
DOS at the Fermi energy (states/eV/cell): 6.34
Crystal system: tetragonal
ρ (kg/m3): 11802
E_form (eV/atom): 0.1775

---

10.
Density functional theory data (PBE-GGA) for a relaxed structure of PaTiPb2.

Cell: 5.1995 5.1995 5.2021 Å, 60.02 60.02 60.00°
With the nearest neighbours (Å) after each atom.
Fractional positions:
Ti  0.5000  0.5000  0.5000  8 Pb 3.18-3.19
Pb  0.7500  0.7500  0.7499  4 Ti 3.18-3.19, 4 Pa 3.18-3.19
Pb  0.2500  0.2500  0.2501  4 Ti 3.18-3.19, 4 Pa 3.18-3.19
Pa  0.0000  0.0000  0.0000  8 Pb 3.18-3.19

Calculated values
Distance to the lowest polymorph of the same formula (kJ/mol of formula units): 1
Total energy (eV for the cell shown): -24.2
DOS at the Fermi energy (states/eV/cell): 3.47
Crystal system: cubic
ρ (kg/m3): 11574
E_form (eV/atom): 0.1621

---

11.
Density functional theory data (PBE-GGA) for a relaxed structure of PaTiPb2.

Cell: 4.4720 4.7165 4.7165 Å, 90.00 90.00 90.00°
With the nearest neighbours (Å) after each atom.
Fractional positions:
Ti  0.5000  0.5000  0.5000  8 Pb 3.25, 4 Pa 3.34
Pb  0.0000  0.0000  0.5000  4 Ti 3.25, 4 Pa 3.25, 4 Pb 3.34
Pb  0.0000  0.5000  0.0000  4 Ti 3.25, 4 Pa 3.25, 4 Pb 3.34
Pa  0.5000  0.0000  0.0000  8 Pb 3.25, 4 Ti 3.34

Calculated values
Distance to the lowest polymorph of the same formula (kJ/mol of formula units): 0
Total energy (eV for the cell shown): -24.2
DOS at the Fermi energy (states/eV/cell): 5.00
Crystal system: tetragonal
ρ (kg/m3): 11573
E_form (eV/atom): 0.1595

---

12.
Density functional theory data (PBE-GGA) for a relaxed structure of PaTi3Pb.

Cell: 4.5300 7.3951 6.1694 Å, 101.59 90.00 90.00°
With the nearest neighbours (Å) after each atom.
Fractional positions:
Ti  0.7500  0.9264  0.8564  3 Ti 2.86-2.95, 3 Pb 2.88-3.12, 2 Pa 2.90
Ti  0.7500  0.5431  0.6560  6 Ti 2.86-3.11, 1 Pa 2.92, 3 Pb 3.00-3.09
Ti  0.2500  0.4569  0.3440  6 Ti 2.86-3.11, 1 Pa 2.92, 3 Pb 3.00-3.09
Ti  0.7500  0.7334  0.2917  3 Pa 2.83-3.06, 3 Ti 2.88-3.11, 2 Pb 2.91
Ti  0.2500  0.0736  0.1436  3 Ti 2.86-2.95, 3 Pb 2.88-3.12, 2 Pa 2.90
Ti  0.2500  0.2666  0.7083  3 Pa 2.83-3.06, 3 Ti 2.88-3.11, 2 Pb 2.91
Pb  0.7500  0.3202  0.0112  9 Ti 2.88-3.20, 1 Pa 3.14
Pb  0.2500  0.6798  0.9888  9 Ti 2.88-3.20, 1 Pa 3.14
Pa  0.7500  0.1538  0.4405  6 Ti 2.83-3.06, 1 Pb 3.14
Pa  0.2500  0.8462  0.5595  6 Ti 2.83-3.06, 1 Pb 3.14

Calculated values
Total energy (eV for the cell shown): -73.0
DOS at the Fermi energy (states/eV/cell): 14.94
Crystal system: monoclinic
ρ (kg/m3): 9544
E_form (eV/atom): 0.0809

---

13.
Density functional theory data (PBE-GGA) for a relaxed structure of PaTi6Pb2.

Cell: 4.8980 7.4779 7.4779 Å, 44.82 70.87 70.87°
With the nearest neighbours (Å) after each atom.
Fractional positions:
Ti  0.7928  0.2075  0.2075  1 Pa 2.68, 2 Ti 2.82, 4 Pb 2.91-2.99
Ti  0.6073  0.1309  0.6547  4 Ti 2.71-2.99, 2 Pb 2.95
Ti  0.3927  0.3453  0.8691  4 Ti 2.71-2.99, 2 Pb 2.95
Ti  0.3927  0.8691  0.3453  4 Ti 2.71-2.99, 2 Pb 2.95
Ti  0.2072  0.7925  0.7925  1 Pa 2.68, 2 Ti 2.82, 4 Pb 2.91-2.99
Ti  0.6073  0.6547  0.1309  4 Ti 2.71-2.99, 2 Pb 2.95
Pb  0.1607  0.3395  0.3395  8 Ti 2.91-2.99
Pb  0.8393  0.6605  0.6605  8 Ti 2.91-2.99
Pa  0.0000  0.0000  0.0000  2 Ti 2.68

Calculated values
Total energy (eV for the cell shown): -63.4
DOS at the Fermi energy (states/eV/cell): 11.40
Crystal system: orthorhombic
ρ (kg/m3): 8579
E_form (eV/atom): 0.1017

---

14.
Density functional theory data (PBE-GGA) for a relaxed structure of ZrPaTiPb.

Cell: 4.9974 4.9974 4.9974 Å, 60.00 60.00 60.00°
With the nearest neighbours (Å) after each atom.
Fractional positions:
Zr  0.7500  0.7500  0.7500  4 Pb 3.06, 4 Pa 3.06
Pb  0.5000  0.5000  0.5000  4 Zr 3.06, 4 Ti 3.06
Pa  0.0000  0.0000  0.0000  4 Zr 3.06, 4 Ti 3.06
Ti  0.2500  0.2500  0.2500  4 Pb 3.06, 4 Pa 3.06

Calculated values
Total energy (eV for the cell shown): -29.2
DOS at the Fermi energy (states/eV/cell): 6.76
Crystal system: cubic
ρ (kg/m3): 10863
E_form (eV/atom): 0.0998

---

15.
Density functional theory data (PBE-GGA) for a relaxed structure of PaTlPb.

Cell: 3.2473 3.2473 8.3543 Å, 101.21 101.21 90.00°
With the nearest neighbours (Å) after each atom.
Fractional positions:
Pb  0.6592  0.6592  0.3184  4 Pb 3.25, 4 Pa 3.45
Tl  0.3421  0.3421  0.6843  4 Tl 3.25, 4 Pa 3.41
Pa  0.9987  0.9987  0.9973  4 Pa 3.25, 4 Tl 3.41, 4 Pb 3.45

Calculated values
Distance to the lowest polymorph of the same formula (kJ/mol of formula units): 0
Total energy (eV for the cell shown): -14.8
DOS at the Fermi energy (states/eV/cell): 4.55
Crystal system: tetragonal
ρ (kg/m3): 12598
E_form (eV/atom): 0.2451